Entry 1:
Entry from the Alexandria database: a relaxed structure of NdEr5Tm (PBE).

Properties
SG = Immm (71)
Polymorph energy (0 for the lowest one) = 1053.0 meV per atom
Uncorrected energy = -3.4625 eV/atom
E_form = 1117 meV/atom

Lattice parameters (Å, degrees): 7.8698 7.8698 7.8698 137.28 113.97 81.89
Fractional positions:
Nd (0.0000, 0.0000, 0.0000)
Er (0.0000, 0.5000, 0.5000)
Er (0.2441, 0.2441, 0.0000)
Er (0.3231, 0.0000, 0.3231)
Er (0.6769, 0.0000, 0.6769)
Er (0.7559, 0.7559, 0.0000)
Tm (0.5000, 0.5000, 0.0000)

***

Entry 2:
Entry from the Alexandria database: a relaxed structure of CsSr2CaRh (PBE).

Properties
SG = P4/mmm (123)
Uncorrected energy = -2.7830 eV/atom
E_form = -69 meV/atom

Lattice parameters (Å, degrees): 6.1180 6.1180 5.8027 90.00 90.00 90.00
Fractional positions:
Cs (0.0000, 0.0000, 0.0000)
Sr (0.0000, 0.5000, 0.5000)
Sr (0.5000, 0.0000, 0.5000)
Ca (0.5000, 0.5000, 0.0000)
Rh (0.5000, 0.5000, 0.5000)

***

Entry 3:
Entry from the Alexandria database: a relaxed structure of LiInAs (PBE).

Properties
SG = F-43m (216)
Polymorph energy (0 for the lowest one) = 0.0 meV per atom
Uncorrected energy = -3.3143 eV/atom
E_form = -214 meV/atom

Lattice parameters (Å, degrees): 4.4249 4.4249 4.4249 60.00 60.00 60.00
Fractional positions:
Li (0.0000, 0.0000, 0.0000)
In (0.2500, 0.2500, 0.2500)
As (0.7500, 0.7500, 0.7500)